10
Lattice="4.143 0.000 0.000 0.000 8.607 0.000 0.000 0.000 5.527" Properties=species:S:1:pos:R:3 comment="Tm2AlSiOs | OQMD via LeMat-Bulk | PBE-GGA | relaxed" total_magnetization_mub_per_cell=0.014 volume_a3_per_atom=19.71 energy_ev_per_atom=-6.39 spacegroup="No. 44" pbc="T T T"
Tm 0.000 1.724 0.000
Tm 0.000 6.883 0.000
Tm 2.071 2.580 2.763
Tm 2.071 6.027 2.763
Al 0.000 0.000 2.817
Al 2.071 4.303 0.054
Si 0.000 4.303 4.035
Si 2.071 0.000 1.271
Os 0.000 4.303 1.525
Os 2.071 0.000 4.288